VASP calculation (PBE-GGA) on a relaxed Pr12Nd5Y2 crystal.

Structure (extended XYZ):
```
19
Lattice="9.420 -3.600 0.000 9.420 3.600 0.000 -3.847 0.000 10.101" Properties=species:S:1:pos:R:3 pbc="T T T"
Pr 18.158 0.000 1.775
Pr -3.164 0.000 8.326
Pr 2.529 1.821 9.809
Pr 3.985 1.774 6.353
Pr 11.009 1.774 3.748
Pr 12.465 1.821 0.292
Pr 7.928 0.000 2.523
Pr 7.066 0.000 7.578
Pr 2.529 -1.821 9.809
Pr 3.985 -1.774 6.353
Pr 11.009 -1.774 3.748
Pr 12.465 -1.821 0.292
Nd 0.533 0.000 7.174
Nd 4.702 0.000 3.174
Nd 9.420 0.000 0.000
Nd 10.292 0.000 6.927
Nd 14.461 0.000 2.927
Y 7.497 1.951 5.050
Y 7.497 -1.951 5.050
```

Summary:
space group: No. 12
formation energy from the elements: 0.161 eV/atom
crystal system: monoclinic